Ag3Sb2 | PBE | optimized geometry

The structure in CIF format:
```
data_Ag3Sb2
_chemical_formula_sum 'Ag3 Sb2'
_space_group_name_H-M_alt 'P -3 m 1'
_space_group_IT_number 164
_space_group_name_Hall '-P 3 2"'
_cell_length_a 4.2972
_cell_length_b 4.2972
_cell_length_c 7.4809
_cell_angle_alpha 90.00
_cell_angle_beta 90.00
_cell_angle_gamma 120.00
loop_
_atom_site_label
_atom_site_fract_x
_atom_site_fract_y
_atom_site_fract_z
_atom_site_occupancy
Ag1 0.0000 0.0000 0.0000 1
Ag2 0.3333 0.6667 0.4023 1
Sb1 0.3333 0.6667 0.7978 1
```

## Properties
total DFT energy (no corrections)	-3.18	eV/atom
E_form (uncorrected)	0.180	eV/atom


AgSb5 | PBE | optimized geometry

The structure in CIF format:
```
data_AgSb5
_chemical_formula_sum 'Ag4 Sb20'
_space_group_name_H-M_alt 'F -4 3 m'
_space_group_IT_number 216
_space_group_name_Hall 'F -4 2 3'
_cell_length_a 8.801
_cell_length_b 8.801
_cell_length_c 8.801
_cell_angle_alpha 90.00
_cell_angle_beta 90.00
_cell_angle_gamma 90.00
loop_
_atom_site_label
_atom_site_fract_x
_atom_site_fract_y
_atom_site_fract_z
_atom_site_occupancy
Ag1 0.000 0.000 0.000 1
Sb1 0.125 0.125 0.375 1
Sb2 0.250 0.250 0.750 1
```

## Properties
total DFT energy (no corrections)	-3.45	eV/atom
E_form (uncorrected)	0.464	eV/atom


Ag3Sb2 | PBE | optimized geometry

The structure in CIF format:
```
data_Ag3Sb2
_chemical_formula_sum 'Ag18 Sb12'
_space_group_name_H-M_alt 'R -3 c'
_space_group_IT_number 167
_space_group_name_Hall '-R 3 2"c'
_cell_length_a 7.1906
_cell_length_b 7.1906
_cell_length_c 15.9182
_cell_angle_alpha 90.00
_cell_angle_beta 90.00
_cell_angle_gamma 120.00
loop_
_atom_site_label
_atom_site_fract_x
_atom_site_fract_y
_atom_site_fract_z
_atom_site_occupancy
Ag1 0.0000 0.2354 0.2500 1
Sb1 0.0000 0.0000 0.0961 1
```

## Properties
total DFT energy (no corrections)	-3.17	eV/atom
E_form (uncorrected)	0.186	eV/atom


Ag4Sb | PBE | optimized geometry

The structure in CIF format:
```
data_Ag4Sb
_chemical_formula_sum 'Ag8 Sb2'
_space_group_name_H-M_alt 'I 4/m m m'
_space_group_IT_number 139
_space_group_name_Hall '-I 4 2'
_cell_length_a 3.897
_cell_length_b 3.897
_cell_length_c 14.039
_cell_angle_alpha 90.00
_cell_angle_beta 90.00
_cell_angle_gamma 90.00
loop_
_atom_site_label
_atom_site_fract_x
_atom_site_fract_y
_atom_site_fract_z
_atom_site_occupancy
Ag1 0.000 0.000 0.099 1
Ag2 0.000 0.500 0.250 1
Sb1 0.000 0.000 0.500 1
```

## Properties
total DFT energy (no corrections)	-2.88	eV/atom
E_form (uncorrected)	0.222	eV/atom


AgSb3 | PBE | optimized geometry

The structure in CIF format:
```
data_AgSb3
_chemical_formula_sum 'Ag4 Sb12'
_space_group_name_H-M_alt 'P n m a'
_space_group_IT_number 62
_space_group_name_Hall '-P 2ac 2n'
_cell_length_a 6.776
_cell_length_b 9.354
_cell_length_c 6.819
_cell_angle_alpha 90.00
_cell_angle_beta 90.00
_cell_angle_gamma 90.00
loop_
_atom_site_label
_atom_site_fract_x
_atom_site_fract_y
_atom_site_fract_z
_atom_site_occupancy
Ag1 0.102 0.250 0.028 1
Sb1 0.008 0.750 0.371 1
Sb2 0.250 0.083 0.360 1
```

## Properties
total DFT energy (no corrections)	-3.62	eV/atom
E_form (uncorrected)	0.182	eV/atom


Ag4Sb | PBE | optimized geometry

The structure in CIF format:
```
data_Ag4Sb
_chemical_formula_sum 'Ag8 Sb2'
_space_group_name_H-M_alt 'I 4/m'
_space_group_IT_number 87
_space_group_name_Hall '-I 4'
_cell_length_a 6.715
_cell_length_b 6.715
_cell_length_c 4.325
_cell_angle_alpha 90.00
_cell_angle_beta 90.00
_cell_angle_gamma 90.00
loop_
_atom_site_label
_atom_site_fract_x
_atom_site_fract_y
_atom_site_fract_z
_atom_site_occupancy
Ag1 0.100 0.306 0.000 1
Sb1 0.000 0.000 0.500 1
```

## Properties
total DFT energy (no corrections)	-3.06	eV/atom
E_form (uncorrected)	0.041	eV/atom


Ag4Sb3 | PBE | optimized geometry

The structure in CIF format:
```
data_Ag4Sb3
_chemical_formula_sum 'Ag4 Sb3'
_space_group_name_H-M_alt 'P 6/m m m'
_space_group_IT_number 191
_space_group_name_Hall '-P 6 2'
_cell_length_a 6.1125
_cell_length_b 6.1125
_cell_length_c 5.2595
_cell_angle_alpha 90.00
_cell_angle_beta 90.00
_cell_angle_gamma 120.00
loop_
_atom_site_label
_atom_site_fract_x
_atom_site_fract_y
_atom_site_fract_z
_atom_site_occupancy
Ag1 0.0000 0.0000 0.2473 1
Ag2 0.3333 0.6667 0.0000 1
Sb1 0.0000 0.5000 0.5000 1
```

## Properties
total DFT energy (no corrections)	-3.01	eV/atom
E_form (uncorrected)	0.388	eV/atom


AgSb8 | PBE | optimized geometry

The structure in CIF format:
```
data_AgSb8
_chemical_formula_sum 'Ag2 Sb16'
_space_group_name_H-M_alt 'I 4/m m m'
_space_group_IT_number 139
_space_group_name_Hall '-I 4 2'
_cell_length_a 11.145
_cell_length_b 11.145
_cell_length_c 3.911
_cell_angle_alpha 90.00
_cell_angle_beta 90.00
_cell_angle_gamma 90.00
loop_
_atom_site_label
_atom_site_fract_x
_atom_site_fract_y
_atom_site_fract_z
_atom_site_occupancy
Ag1 0.000 0.000 0.000 1
Sb1 0.000 0.337 0.000 1
Sb2 0.145 0.145 0.500 1
```

## Properties
total DFT energy (no corrections)	-3.75	eV/atom
E_form (uncorrected)	0.228	eV/atom


Ag4Sb3 | PBE | optimized geometry

The structure in CIF format:
```
data_Ag4Sb3
_chemical_formula_sum 'Ag8 Sb6'
_space_group_name_H-M_alt 'I 4/m m m'
_space_group_IT_number 139
_space_group_name_Hall '-I 4 2'
_cell_length_a 3.569
_cell_length_b 3.569
_cell_length_c 24.620
_cell_angle_alpha 90.00
_cell_angle_beta 90.00
_cell_angle_gamma 90.00
loop_
_atom_site_label
_atom_site_fract_x
_atom_site_fract_y
_atom_site_fract_z
_atom_site_occupancy
Ag1 0.000 0.000 0.068 1
Ag2 0.000 0.000 0.370 1
Sb1 0.000 0.000 0.194 1
Sb2 0.000 0.000 0.500 1
```

## Properties
total DFT energy (no corrections)	-3.27	eV/atom
E_form (uncorrected)	0.130	eV/atom


Ag3Sb | PBE | optimized geometry

The structure in CIF format:
```
data_Ag3Sb
_chemical_formula_sum 'Ag3 Sb1'
_space_group_name_H-M_alt 'P 4/m m m'
_space_group_IT_number 123
_space_group_name_Hall '-P 4 2'
_cell_length_a 3.115
_cell_length_b 3.115
_cell_length_c 8.436
_cell_angle_alpha 90.00
_cell_angle_beta 90.00
_cell_angle_gamma 90.00
loop_
_atom_site_label
_atom_site_fract_x
_atom_site_fract_y
_atom_site_fract_z
_atom_site_occupancy
Ag1 0.000 0.000 0.000 1
Ag2 0.500 0.500 0.229 1
Sb1 0.000 0.000 0.500 1
```

## Properties
total DFT energy (no corrections)	-3.07	eV/atom
E_form (uncorrected)	0.098	eV/atom


Ag5Sb3 | PBE | optimized geometry

The structure in CIF format:
```
data_Ag5Sb3
_chemical_formula_sum 'Ag10 Sb6'
_space_group_name_H-M_alt 'P 63/m c m'
_space_group_IT_number 193
_space_group_name_Hall '-P 6c 2'
_cell_length_a 8.7414
_cell_length_b 8.7414
_cell_length_c 5.4185
_cell_angle_alpha 90.00
_cell_angle_beta 90.00
_cell_angle_gamma 120.00
loop_
_atom_site_label
_atom_site_fract_x
_atom_site_fract_y
_atom_site_fract_z
_atom_site_occupancy
Ag1 0.0000 0.1928 0.2500 1
Ag2 0.3333 0.6667 0.0000 1
Sb1 0.0000 0.3880 0.7500 1
```

## Properties
total DFT energy (no corrections)	-3.19	eV/atom
E_form (uncorrected)	0.143	eV/atom


Ag4Sb5 | PBE | optimized geometry

The structure in CIF format:
```
data_Ag4Sb5
_chemical_formula_sum 'Ag8 Sb10'
_space_group_name_H-M_alt 'I 4/m m m'
_space_group_IT_number 139
_space_group_name_Hall '-I 4 2'
_cell_length_a 9.834
_cell_length_b 9.834
_cell_length_c 4.419
_cell_angle_alpha 90.00
_cell_angle_beta 90.00
_cell_angle_gamma 90.00
loop_
_atom_site_label
_atom_site_fract_x
_atom_site_fract_y
_atom_site_fract_z
_atom_site_occupancy
Ag1 0.000 0.353 0.000 1
Sb1 0.000 0.000 0.000 1
Sb2 0.173 0.173 0.500 1
```

## Properties
total DFT energy (no corrections)	-3.36	eV/atom
E_form (uncorrected)	0.201	eV/atom


Ag4Sb | PBE | optimized geometry

The structure in CIF format:
```
data_Ag4Sb
_chemical_formula_sum 'Ag8 Sb2'
_space_group_name_H-M_alt 'P 1 21/c 1'
_space_group_IT_number 14
_space_group_name_Hall '-P 2ybc'
_cell_length_a 4.863
_cell_length_b 5.174
_cell_length_c 9.431
_cell_angle_alpha 90.00
_cell_angle_beta 111.09
_cell_angle_gamma 90.00
loop_
_atom_site_label
_atom_site_fract_x
_atom_site_fract_y
_atom_site_fract_z
_atom_site_occupancy
Ag1 0.064 0.227 0.097 1
Ag2 0.306 0.733 0.222 1
Sb1 0.500 0.000 0.500 1
```

## Properties
total DFT energy (no corrections)	-2.90	eV/atom
E_form (uncorrected)	0.203	eV/atom


AgSb3 | PBE | optimized geometry

The structure in CIF format:
```
data_AgSb3
_chemical_formula_sum 'Ag4 Sb12'
_space_group_name_H-M_alt 'I 4/m m m'
_space_group_IT_number 139
_space_group_name_Hall '-I 4 2'
_cell_length_a 5.620
_cell_length_b 5.620
_cell_length_c 13.033
_cell_angle_alpha 90.00
_cell_angle_beta 90.00
_cell_angle_gamma 90.00
loop_
_atom_site_label
_atom_site_fract_x
_atom_site_fract_y
_atom_site_fract_z
_atom_site_occupancy
Ag1 0.000 0.000 0.110 1
Sb1 0.000 0.000 0.357 1
Sb2 0.000 0.500 0.000 1
Sb3 0.000 0.500 0.250 1
```

## Properties
total DFT energy (no corrections)	-3.57	eV/atom
E_form (uncorrected)	0.231	eV/atom


AgSb3 | PBE | optimized geometry

The structure in CIF format:
```
data_AgSb3
_chemical_formula_sum 'Ag2 Sb6'
_space_group_name_H-M_alt 'C 1 2/m 1'
_space_group_IT_number 12
_space_group_name_Hall '-C 2y'
_cell_length_a 7.384
_cell_length_b 4.210
_cell_length_c 7.327
_cell_angle_alpha 90.00
_cell_angle_beta 109.45
_cell_angle_gamma 90.00
loop_
_atom_site_label
_atom_site_fract_x
_atom_site_fract_y
_atom_site_fract_z
_atom_site_occupancy
Ag1 0.000 0.000 0.000 1
Sb1 0.000 0.500 0.500 1
Sb2 0.242 0.500 0.228 1
```

## Properties
total DFT energy (no corrections)	-3.71	eV/atom
E_form (uncorrected)	0.095	eV/atom


Ag5Sb3 | PBE | optimized geometry

The structure in CIF format:
```
data_Ag5Sb3
_chemical_formula_sum 'Ag10 Sb6'
_space_group_name_H-M_alt 'C m m m'
_space_group_IT_number 65
_space_group_name_Hall '-C 2 2'
_cell_length_a 8.768
_cell_length_b 8.887
_cell_length_c 4.401
_cell_angle_alpha 90.00
_cell_angle_beta 90.00
_cell_angle_gamma 90.00
loop_
_atom_site_label
_atom_site_fract_x
_atom_site_fract_y
_atom_site_fract_z
_atom_site_occupancy
Ag1 0.000 0.000 0.000 1
Ag2 0.249 0.000 0.500 1
Ag3 0.250 0.250 0.000 1
Sb1 0.000 0.228 0.500 1
Sb2 0.000 0.500 0.000 1
```

## Properties
total DFT energy (no corrections)	-3.23	eV/atom
E_form (uncorrected)	0.102	eV/atom


AgSb5 | PBE | optimized geometry

The structure in CIF format:
```
data_AgSb5
_chemical_formula_sum 'Ag1 Sb5'
_space_group_name_H-M_alt 'P 4/m m m'
_space_group_IT_number 123
_space_group_name_Hall '-P 4 2'
_cell_length_a 3.193
_cell_length_b 3.193
_cell_length_c 15.399
_cell_angle_alpha 90.00
_cell_angle_beta 90.00
_cell_angle_gamma 90.00
loop_
_atom_site_label
_atom_site_fract_x
_atom_site_fract_y
_atom_site_fract_z
_atom_site_occupancy
Ag1 0.000 0.000 0.000 1
Sb1 0.000 0.000 0.327 1
Sb2 0.500 0.500 0.143 1
Sb3 0.500 0.500 0.500 1
```

## Properties
total DFT energy (no corrections)	-3.67	eV/atom
E_form (uncorrected)	0.238	eV/atom


Ag3Sb2 | PBE | optimized geometry

The structure in CIF format:
```
data_Ag3Sb2
_chemical_formula_sum 'Ag24 Sb16'
_space_group_name_H-M_alt 'F d d 2'
_space_group_IT_number 43
_space_group_name_Hall 'F 2 -2d'
_cell_length_a 10.956
_cell_length_b 27.451
_cell_length_c 2.940
_cell_angle_alpha 90.00
_cell_angle_beta 90.00
_cell_angle_gamma 90.00
loop_
_atom_site_label
_atom_site_fract_x
_atom_site_fract_y
_atom_site_fract_z
_atom_site_occupancy
Ag1 0.000 0.000 0.000 1
Ag2 0.003 0.407 0.997 1
Sb1 0.003 0.310 0.485 1
```

## Properties
total DFT energy (no corrections)	-3.22	eV/atom
E_form (uncorrected)	0.138	eV/atom


Ag5Sb4 | PBE | optimized geometry

The structure in CIF format:
```
data_Ag5Sb4
_chemical_formula_sum 'Ag10 Sb8'
_space_group_name_H-M_alt 'I 4/m m m'
_space_group_IT_number 139
_space_group_name_Hall '-I 4 2'
_cell_length_a 9.563
_cell_length_b 9.563
_cell_length_c 4.368
_cell_angle_alpha 90.00
_cell_angle_beta 90.00
_cell_angle_gamma 90.00
loop_
_atom_site_label
_atom_site_fract_x
_atom_site_fract_y
_atom_site_fract_z
_atom_site_occupancy
Ag1 0.000 0.000 0.000 1
Ag2 0.161 0.161 0.500 1
Sb1 0.000 0.304 0.000 1
```

## Properties
total DFT energy (no corrections)	-3.32	eV/atom
E_form (uncorrected)	0.094	eV/atom


AgSb5 | PBE | optimized geometry

The structure in CIF format:
```
data_AgSb5
_chemical_formula_sum 'Ag1 Sb5'
_space_group_name_H-M_alt 'P -6 2 m'
_space_group_IT_number 189
_space_group_name_Hall 'P -6 -2'
_cell_length_a 5.8551
_cell_length_b 5.8551
_cell_length_c 5.3140
_cell_angle_alpha 90.00
_cell_angle_beta 90.00
_cell_angle_gamma 120.00
loop_
_atom_site_label
_atom_site_fract_x
_atom_site_fract_y
_atom_site_fract_z
_atom_site_occupancy
Ag1 0.0000 0.0000 0.0000 1
Sb1 0.0000 0.7004 0.5000 1
Sb2 0.3333 0.6667 0.0000 1
```

## Properties
total DFT energy (no corrections)	-3.67	eV/atom
E_form (uncorrected)	0.240	eV/atom